Ho6Pd5Rh | GGA-PBE | relaxed

Geometry as POSCAR:
```
Ho6Pd5Rh
1.0
-4.816 0.003 -1.176
0.792 -5.985 -3.263
-3.943 -3.626 5.693
Pd Ho Rh
5 6 1
Direct
0.333 0.500 0.335
0.333 0.000 0.335
0.667 0.500 0.665
0.000 0.500 0.000
0.667 0.000 0.665
0.164 0.752 0.672
0.836 0.752 0.328
0.500 0.754 0.000
0.836 0.248 0.328
0.164 0.248 0.672
0.500 0.246 0.000
0.000 0.000 0.000
```

## Properties
VASP energy ... -5.98 eV per atom

=====

Ho4Pd3Rh | GGA-PBE | relaxed

Geometry as POSCAR:
```
Ho4Pd3Rh
1.0
-1.273 3.196 0.468
-0.229 -0.591 3.413
12.877 4.878 1.708
Rh Ho Pd
1 4 3
Direct
0.500 0.500 0.000
0.000 0.000 0.119
0.000 0.000 0.374
0.000 0.000 0.881
0.000 0.000 0.626
0.500 0.500 0.248
0.500 0.500 0.752
0.500 0.500 0.500
```

## Properties
VASP energy ... -6.06 eV per atom

=====

Ho5Pd4Rh | GGA-PBE | relaxed

Geometry as POSCAR:
```
Ho5Pd4Rh
1.0
3.442 0.000 0.000
0.000 3.442 0.000
0.000 0.000 17.721
Ho Pd Rh
5 4 1
Direct
0.500 0.500 0.500
0.500 0.500 0.298
0.500 0.500 0.702
0.500 0.500 0.095
0.500 0.500 0.905
0.000 0.000 0.802
0.000 0.000 0.399
0.000 0.000 0.601
0.000 0.000 0.198
0.000 0.000 0.000
```

## Properties
VASP energy ... -6.01 eV per atom

=====

Ho4PdRh3 | GGA-PBE | relaxed

Geometry as POSCAR:
```
Ho4PdRh3
1.0
4.816 0.000 0.000
0.000 6.953 0.000
0.000 0.000 9.632
Ho Pd Rh
8 2 6
Direct
0.000 0.753 0.750
0.500 0.247 0.500
0.500 0.753 0.500
0.500 0.753 0.000
0.000 0.247 0.250
0.000 0.753 0.250
0.000 0.247 0.750
0.500 0.247 0.000
0.000 0.500 0.000
0.000 0.500 0.500
0.500 0.000 0.750
0.500 0.500 0.750
0.500 0.500 0.250
0.000 0.000 0.500
0.500 0.000 0.250
0.000 0.000 0.000
```

## Properties
VASP energy ... -6.60 eV per atom

=====

Ho7PdRh4 | GGA-PBE | relaxed

Geometry as POSCAR:
```
Ho7PdRh4
1.0
5.196 0.000 0.000
2.598 7.920 0.340
2.598 0.714 6.875
Ho Rh Pd
7 4 1
Direct
0.211 0.127 0.451
0.077 0.658 0.189
0.923 0.342 0.811
0.668 0.384 0.280
0.332 0.616 0.720
0.789 0.873 0.549
0.500 0.000 0.000
0.291 0.348 0.069
0.709 0.652 0.931
0.568 0.219 0.645
0.432 0.781 0.355
0.000 0.000 0.000
```

## Properties
VASP energy ... -6.15 eV per atom

=====

HoSi2PdRh | GGA-PBE | relaxed

Geometry as POSCAR:
```
HoSi2PdRh
1.0
-3.790 0.971 1.102
-1.449 -1.984 -3.238
2.328 -3.720 3.788
Si Ho Pd Rh
2 1 1 1
Direct
0.616 0.616 0.232
0.384 0.384 0.768
0.000 0.000 0.000
0.750 0.250 0.500
0.250 0.750 0.500
```

## Properties
E_form (uncorrected) ... -996 meV/atom